[1]
# PBE SiPIN2, optimized geometry
data_SiPIN2
_cell_length_a 3.588
_cell_length_b 3.588
_cell_length_c 7.751
_cell_angle_alpha 90.00
_cell_angle_beta 90.00
_cell_angle_gamma 90.00
_symmetry_space_group_name_H-M 'P 1'
_symmetry_Int_Tables_number 1
loop_
_symmetry_equiv_pos_as_xyz
'x,y,z'
loop_
_atom_site_label
_atom_site_fract_x
_atom_site_fract_y
_atom_site_fract_z
Si1 0.000 0.000 0.000
P1 0.500 0.500 0.500
I1 0.000 0.000 0.500
N1 0.000 0.500 0.000
N2 0.500 0.000 0.000
# N(E_F) (states/eV per cell): 4.01
# Space-group type: P4/mmm (123)
# Raw formation energy (eV/atom): 1.004
# Magnetic moment (μB per formula unit): 0.00
# Polymorph energy (0 for the lowest one) (eV per atom): 0.000

***

[2]
# PBE SiPIN2, optimized geometry
data_SiPIN2
_cell_length_a 3.619
_cell_length_b 3.619
_cell_length_c 7.456
_cell_angle_alpha 90.00
_cell_angle_beta 90.00
_cell_angle_gamma 90.00
_symmetry_space_group_name_H-M 'P 1'
_symmetry_Int_Tables_number 1
loop_
_symmetry_equiv_pos_as_xyz
'x,y,z'
loop_
_atom_site_label
_atom_site_fract_x
_atom_site_fract_y
_atom_site_fract_z
Si1 0.000 0.000 0.000
P1 0.500 0.500 0.500
I1 0.500 0.500 0.000
N1 0.000 0.500 0.500
N2 0.500 0.000 0.500
# N(E_F) (states/eV per cell): 2.71
# Space-group type: P4/mmm (123)
# Raw formation energy (eV/atom): 1.417
# Magnetic moment (μB per formula unit): 0.64
# Polymorph energy (0 for the lowest one) (eV per atom): 0.412

***

[3]
# PBE SiPI2N, optimized geometry
data_SiPI2N
_cell_length_a 5.781
_cell_length_b 5.781
_cell_length_c 3.422
_cell_angle_alpha 90.00
_cell_angle_beta 90.00
_cell_angle_gamma 90.00
_symmetry_space_group_name_H-M 'P 1'
_symmetry_Int_Tables_number 1
loop_
_symmetry_equiv_pos_as_xyz
'x,y,z'
loop_
_atom_site_label
_atom_site_fract_x
_atom_site_fract_y
_atom_site_fract_z
Si1 0.000 0.000 0.000
P1 0.500 0.500 0.500
I1 0.000 0.500 0.500
I2 0.500 0.000 0.500
N1 0.500 0.500 0.000
# N(E_F) (states/eV per cell): 2.20
# Space-group type: P4/mmm (123)
# Raw formation energy (eV/atom): 0.829
# Magnetic moment (μB per formula unit): 0.00
# Polymorph energy (0 for the lowest one) (eV per atom): 0.138

***

Question: Which of these has the lowest raw formation energy?
Answer: SiPI2N

***

Question: What is the raw formation energy in the third record?
Answer: 0.829 eV/atom

***

Question: The lowest N(E_F) belongs to which entry?
Answer: SiPI2N